[1]
Below is a relaxed structure of HgMo2Rh2, with properties calculated at the PBE level.

Values from the calculation:
Density (g/cm³): 11.83
DFT formation energy (meV per atom): 142
Magnetization (μB/f.u.): 0.000

Structure (POSCAR):
```
HgMo2Rh2
1.0
7.755 0.000 0.000
0.000 7.755 0.000
0.000 0.000 2.794
Hg Mo Rh
2 4 4
Cartesian
0.000 0.000 0.000
3.878 3.878 0.000
0.910 2.967 0.000
2.967 6.845 0.000
4.788 0.910 0.000
6.845 4.788 0.000
1.314 5.192 1.397
2.564 1.314 1.397
5.192 6.442 1.397
6.442 2.564 1.397
```

---

[2]
Below is a relaxed structure of Hg2MoRh, with properties calculated at the PBE level.

Values from the calculation:
Density (g/cm³): 13.75
DFT formation energy (meV per atom): 594
Magnetization (μB/f.u.): 2.628

Structure (POSCAR):
```
Hg2MoRh
1.0
4.176 0.000 0.000
0.000 4.176 0.000
0.000 0.000 4.154
Hg Mo Rh
2 1 1
Cartesian
0.000 2.088 0.000
2.088 0.000 0.000
0.000 0.000 2.077
2.088 2.088 2.077
```

---

[3]
Below is a relaxed structure of Hg2MoRh, with properties calculated at the PBE level.

Values from the calculation:
Density (g/cm³): 13.96
DFT formation energy (meV per atom): 562
Magnetization (μB/f.u.): 1.528

Structure (POSCAR):
```
Hg2MoRh
1.0
6.585 0.000 0.000
0.000 6.585 0.000
0.000 0.000 6.585
Hg Mo Rh
8 4 4
Cartesian
1.646 1.646 1.646
1.646 1.646 4.938
1.646 4.938 1.646
1.646 4.938 4.938
4.938 1.646 1.646
4.938 1.646 4.938
4.938 4.938 1.646
4.938 4.938 4.938
0.000 0.000 0.000
0.000 3.292 3.292
3.292 0.000 3.292
3.292 3.292 0.000
0.000 0.000 3.292
0.000 3.292 0.000
3.292 0.000 0.000
3.292 3.292 3.292
```

---

[4]
Below is a relaxed structure of Hg2MoRh, with properties calculated at the PBE level.

Values from the calculation:
Density (g/cm³): 14.11
DFT formation energy (meV per atom): 475
Magnetization (μB/f.u.): 0.000

Structure (POSCAR):
```
Hg2MoRh
1.0
2.920 0.000 0.000
0.000 2.920 0.000
0.000 0.000 8.282
Hg Mo Rh
2 1 1
Cartesian
0.000 0.000 1.990
0.000 0.000 6.292
1.460 1.460 4.141
1.460 1.460 0.000
```

---

[5]
Below is a relaxed structure of Hg4MoRh, with properties calculated at the PBE level.

Values from the calculation:
Density (g/cm³): 13.40
DFT formation energy (meV per atom): 829
Magnetization (μB/f.u.): 3.222

Structure (POSCAR):
```
Hg4MoRh
1.0
0.000 3.959 3.959
3.959 0.000 3.959
3.959 3.959 0.000
Hg Mo Rh
4 1 1
Cartesian
0.991 0.991 0.991
2.968 2.968 0.991
2.968 0.991 2.968
0.991 2.968 2.968
5.939 5.939 5.939
3.959 3.959 3.959
```

---

[6]
Below is a relaxed structure of HgMo2Rh2, with properties calculated at the PBE level.

Values from the calculation:
Density (g/cm³): 11.21
DFT formation energy (meV per atom): 419
Magnetization (μB/f.u.): 0.000

Structure (POSCAR):
```
HgMo2Rh2
1.0
3.900 0.000 0.000
0.000 3.900 0.000
0.000 0.000 11.648
Hg Mo Rh
2 4 4
Cartesian
0.000 0.000 0.000
1.950 1.950 5.824
0.000 0.000 4.620
0.000 0.000 7.028
1.950 1.950 1.204
1.950 1.950 10.444
0.000 1.950 2.912
0.000 1.950 8.736
1.950 0.000 2.912
1.950 0.000 8.736
```

---

[7]
Below is a relaxed structure of Hg2MoRh, with properties calculated at the PBE level.

Values from the calculation:
Density (g/cm³): 13.94
DFT formation energy (meV per atom): 475
Magnetization (μB/f.u.): 0.001

Structure (POSCAR):
```
Hg2MoRh
1.0
2.995 0.000 0.000
-1.498 2.594 0.000
0.000 0.000 27.601
Hg Mo Rh
6 3 3
Cartesian
0.000 0.000 6.834
0.000 0.000 20.767
0.000 1.729 11.566
0.000 1.729 25.235
1.498 0.865 2.366
1.498 0.865 16.035
0.000 0.000 0.000
0.000 1.729 18.401
1.498 0.865 9.200
0.000 0.000 13.800
0.000 1.729 4.600
1.498 0.865 23.001
```

---

[8]
Below is a relaxed structure of HgMo3Rh, with properties calculated at the PBE level.

Values from the calculation:
Density (g/cm³): 9.34
DFT formation energy (meV per atom): 1588
Magnetization (μB/f.u.): 0.000

Structure (POSCAR):
```
HgMo3Rh
1.0
4.720 0.000 0.000
0.000 4.720 0.000
0.000 0.000 4.720
Hg Mo Rh
1 3 1
Cartesian
0.000 0.000 0.000
0.000 2.360 2.360
2.360 0.000 2.360
2.360 2.360 0.000
2.360 2.360 2.360
```

---

[9]
Below is a relaxed structure of HgMo2Rh, with properties calculated at the PBE level.

Values from the calculation:
Density (g/cm³): 12.61
DFT formation energy (meV per atom): 304
Magnetization (μB/f.u.): 0.000

Structure (POSCAR):
```
HgMo2Rh
1.0
3.849 0.000 0.000
0.000 3.849 0.000
0.000 0.000 8.806
Hg Mo Rh
2 4 2
Cartesian
0.000 0.000 0.000
1.925 1.925 4.403
0.000 1.925 2.202
0.000 1.925 6.605
1.925 0.000 2.202
1.925 0.000 6.605
0.000 0.000 4.403
1.925 1.925 0.000
```

---

[10]
Below is a relaxed structure of HgMo2Rh, with properties calculated at the PBE level.

Values from the calculation:
Density (g/cm³): 12.45
DFT formation energy (meV per atom): 308
Magnetization (μB/f.u.): 0.000

Structure (POSCAR):
```
HgMo2Rh
1.0
9.447 0.000 0.000
0.000 2.803 0.000
-0.836 0.000 4.991
Hg Mo Rh
2 4 2
Cartesian
0.000 0.000 0.000
4.723 1.401 0.000
1.673 0.000 3.613
4.219 0.000 2.463
6.396 1.401 3.613
8.942 1.401 2.463
2.225 1.401 1.336
6.948 0.000 1.336
```

---

[11]
Below is a relaxed structure of Hg2MoRh, with properties calculated at the PBE level.

Values from the calculation:
Density (g/cm³): 13.76
DFT formation energy (meV per atom): 519
Magnetization (μB/f.u.): 0.413

Structure (POSCAR):
```
Hg2MoRh
1.0
2.909 0.000 0.000
0.000 5.042 0.000
0.000 0.000 9.876
Hg Mo Rh
4 2 2
Cartesian
0.000 0.000 2.395
0.000 0.000 7.481
1.455 2.521 2.543
1.455 2.521 7.333
0.000 2.521 0.000
1.455 0.000 4.938
0.000 2.521 4.938
1.455 0.000 0.000
```

---

[12]
Below is a relaxed structure of HgMoRh2S, with properties calculated at the PBE level.

Values from the calculation:
Density (g/cm³): 8.50
Uncorrected formation energy (eV/f.u.): 3.49
Magnetization (μB/f.u.): 0.000

Structure (POSCAR):
```
HgMoRh2S
1.0
4.805 0.000 0.000
0.000 4.805 0.000
0.000 0.000 4.521
Hg Mo Rh S
1 1 2 1
Cartesian
0.000 0.000 0.000
2.403 2.403 2.261
0.000 2.403 2.261
2.403 0.000 2.261
2.403 2.403 0.000
```

---

[13]
Below is a relaxed structure of SnHg2MoRh, with properties calculated at the PBE level.

Values from the calculation:
Density (g/cm³): 8.85
DFT formation energy (meV per atom): 901
Magnetization (μB/f.u.): 4.881

Structure (POSCAR):
```
SnHg2MoRh
1.0
5.208 0.000 0.000
0.000 5.208 0.000
0.000 0.000 4.975
Sn Hg Mo Rh
1 2 1 1
Cartesian
0.000 0.000 0.000
0.000 2.604 2.488
2.604 0.000 2.488
2.604 2.604 0.000
0.000 0.000 2.488
```

---

[14]
Below is a relaxed structure of TaHg2MoRh, with properties calculated at the PBE level.

Values from the calculation:
Density (g/cm³): 11.26
DFT formation energy (meV per atom): 1539
Magnetization (μB/f.u.): 0.984

Structure (POSCAR):
```
TaHg2MoRh
1.0
4.990 0.000 0.000
0.000 4.990 0.000
0.000 0.000 4.624
Ta Hg Mo Rh
1 2 1 1
Cartesian
0.000 0.000 0.000
0.000 2.495 2.312
2.495 0.000 2.312
2.495 2.495 0.000
2.495 2.495 2.312
```

---

[15]
Below is a relaxed structure of TaHgMo2Rh, with properties calculated at the PBE level.

Values from the calculation:
Density (g/cm³): 9.48
DFT formation energy (meV per atom): 2644
Magnetization (μB/f.u.): 3.184

Structure (POSCAR):
```
TaHgMo2Rh
1.0
4.892 0.000 0.000
0.000 4.892 0.000
0.000 0.000 4.952
Ta Hg Mo Rh
1 1 2 1
Cartesian
0.000 0.000 0.000
0.000 0.000 2.476
0.000 2.446 2.476
2.446 0.000 2.476
2.446 2.446 0.000
```

---

[16]
Below is a relaxed structure of Y2HgMoRh, with properties calculated at the PBE level.

Values from the calculation:
Density (g/cm³): 6.35
DFT formation energy (meV per atom): 1206
Magnetization (μB/f.u.): 2.631

Structure (POSCAR):
```
Y2HgMoRh
1.0
5.481 0.000 0.000
0.000 5.481 0.000
0.000 0.000 5.024
Y Hg Mo Rh
2 1 1 1
Cartesian
0.000 2.740 0.000
2.740 0.000 0.000
0.000 0.000 0.000
0.000 0.000 2.512
2.740 2.740 2.512
```

---

[17]
Below is a relaxed structure of HgMo4Ru, with properties calculated at the PBE level.

Values from the calculation:
Density (g/cm³): 11.30
DFT formation energy (meV per atom): 475
Magnetization (μB/f.u.): 0.000

Structure (POSCAR):
```
HgMo4Ru
1.0
0.000 3.693 3.693
3.693 0.000 3.693
3.693 3.693 0.000
Hg Mo Ru
1 4 1
Cartesian
0.000 0.000 0.000
4.622 2.763 2.763
2.763 4.622 2.763
2.763 2.763 4.622
4.622 4.622 4.622
1.846 1.846 1.846
```

---

[18]
Below is a relaxed structure of Hg2MoRu, with properties calculated at the PBE level.

Values from the calculation:
Density (g/cm³): 14.18
DFT formation energy (meV per atom): 767
Magnetization (μB/f.u.): 0.307

Structure (POSCAR):
```
Hg2MoRu
1.0
6.544 0.000 0.000
0.000 6.544 0.000
0.000 0.000 6.544
Hg Mo Ru
8 4 4
Cartesian
1.636 1.636 1.636
1.636 1.636 4.908
1.636 4.908 1.636
1.636 4.908 4.908
4.908 1.636 1.636
4.908 1.636 4.908
4.908 4.908 1.636
4.908 4.908 4.908
0.000 0.000 0.000
0.000 3.272 3.272
3.272 0.000 3.272
3.272 3.272 0.000
0.000 0.000 3.272
0.000 3.272 0.000
3.272 0.000 0.000
3.272 3.272 3.272
```

---

[19]
Below is a relaxed structure of HgMoRu2, with properties calculated at the PBE level.

Values from the calculation:
Density (g/cm³): 12.60
DFT formation energy (meV per atom): 496
Magnetization (μB/f.u.): 0.000

Structure (POSCAR):
```
HgMoRu2
1.0
3.014 0.000 0.000
0.000 4.804 0.000
0.000 0.000 9.074
Hg Mo Ru
2 2 4
Cartesian
0.000 0.000 0.000
1.507 2.402 4.537
0.000 0.000 4.537
1.507 2.402 0.000
0.000 2.402 2.034
0.000 2.402 7.040
1.507 0.000 2.503
1.507 0.000 6.570
```

---

[20]
Below is a relaxed structure of Hg2MoRu, with properties calculated at the PBE level.

Values from the calculation:
Density (g/cm³): 13.96
DFT formation energy (meV per atom): 743
Magnetization (μB/f.u.): 0.004

Structure (POSCAR):
```
Hg2MoRu
1.0
3.993 0.000 0.000
0.000 3.993 0.000
0.000 0.000 4.462
Hg Mo Ru
2 1 1
Cartesian
0.000 1.997 0.000
1.997 0.000 0.000
0.000 0.000 2.231
1.997 1.997 2.231
```